Entry 1:
DFT (PBE) results for a relaxed structure of Tm4Mg9Sn11.

Geometry as POSCAR:
```
Tm4Mg9Sn11
1.0
-2.301 -0.314 -2.511
1.907 -13.535 -0.057
-9.936 3.655 8.646
Tm Mg Sn
4 9 11
direct
0.500 0.581 0.756 Tm
0.500 0.419 0.244 Tm
0.500 0.756 0.581 Tm
0.500 0.244 0.419 Tm
0.500 0.620 0.167 Mg
0.500 0.380 0.833 Mg
0.500 0.167 0.620 Mg
0.500 0.833 0.380 Mg
0.500 0.800 0.986 Mg
0.500 0.200 0.014 Mg
0.500 0.986 0.800 Mg
0.500 0.014 0.200 Mg
0.500 0.500 0.500 Mg
0.000 0.592 0.959 Sn
0.000 0.408 0.041 Sn
0.000 0.959 0.592 Sn
0.000 0.041 0.408 Sn
0.000 0.622 0.378 Sn
0.000 0.378 0.622 Sn
0.000 0.817 0.183 Sn
0.000 0.183 0.817 Sn
0.000 0.000 0.000 Sn
0.000 0.786 0.786 Sn
0.000 0.214 0.214 Sn
```

Energy of formation ... -0.227 eV per atom
Symmetry ... Cmmm, No. 65
E ... -81.72 eV for the cell shown



Entry 2:
DFT (PBE) results for a relaxed structure of Nd2SeN.

Geometry as POSCAR:
```
Nd2SeN
1.0
3.830 0.012 0.012
1.905 3.322 0.012
1.887 1.097 6.805
Nd Se N
2 1 1
direct
0.734 0.734 0.798 Nd
0.266 0.266 0.202 Nd
0.500 0.500 0.500 Se
0.000 0.000 0.000 N
```

ΔE to the lowest computed polymorph ... 0 meV/atom
Raw formation energy ... -1.61 eV per atom
Symmetry ... R-3m, No. 166
E ... -27.77 eV for the cell shown



Entry 3:
DFT (PBE) results for a relaxed structure of Y2MnCl.

Geometry as POSCAR:
```
Y2MnCl
1.0
8.243 -0.001 -0.001
7.401 3.628 -0.001
7.401 1.716 3.197
Cl Mn Y
1 1 2
direct
0.250 0.250 0.250 Cl
0.750 0.750 0.750 Mn
0.007 0.007 0.007 Y
0.493 0.493 0.493 Y
```

ΔE to the lowest computed polymorph ... 34 meV/atom
Raw formation energy ... -0.44 eV per atom
Symmetry ... R-3m, No. 166
E ... -25.71 eV for the cell shown



Which value of E does entry 2 give? -27.77 eV for the cell shown